# 1
Below is a relaxed PrAl3Cu crystal, with properties calculated at the PBE level.

Cell: 6.110 6.110 6.110 Å, 139.13 139.13 59.17°
Element x y z (fractional)
Al  0.406  0.406  0.000
Al  0.749  0.249  0.500
Al  0.249  0.749  0.500
Pr  0.000  0.000  0.000
Cu  0.632  0.632  0.000

Computed properties:
Size of the total moment, μB/cell: 0.00
DFT formation energy, eV per atom: -0.471
SG: I4mm (107)
Calculated volume, Å³/atom: 19.34

---

# 2
Below is a relaxed PrAl6Cu12 crystal, with properties calculated at the PBE level.

Cell: 6.840 6.840 6.840 Å, 103.96 103.96 103.96°
Element x y z (fractional)
Cu  0.616  0.616  0.876
Cu  0.124  0.384  0.384
Cu  0.500  0.888  0.112
Cu  0.112  0.500  0.888
Cu  0.112  0.888  0.500
Cu  0.888  0.500  0.112
Cu  0.616  0.876  0.616
Cu  0.384  0.124  0.384
Cu  0.384  0.384  0.124
Cu  0.876  0.616  0.616
Cu  0.888  0.112  0.500
Cu  0.500  0.112  0.888
Al  0.719  0.719  0.299
Al  0.281  0.701  0.281
Al  0.701  0.281  0.281
Al  0.281  0.281  0.701
Al  0.299  0.719  0.719
Al  0.719  0.299  0.719
Pr  0.000  0.000  0.000

Computed properties:
Size of the total moment, μB/cell: 0.00
DFT formation energy, eV per atom: -0.107
SG: R-3m (166)
Calculated volume, Å³/atom: 15.04

---

# 3
Below is a relaxed Pr2Al5Cu5 crystal, with properties calculated at the PBE level.

Cell: 4.075 5.283 9.613 Å, 90.00 90.00 90.00°
Element x y z (fractional)
Al  0.000  0.000  0.814
Al  0.000  0.500  0.670
Al  0.500  0.000  0.000
Al  0.000  0.500  0.330
Al  0.000  0.000  0.186
Cu  0.500  0.500  0.500
Cu  0.500  0.747  0.752
Cu  0.500  0.747  0.248
Cu  0.500  0.253  0.752
Cu  0.500  0.253  0.248
Pr  0.000  0.000  0.500
Pr  0.000  0.500  0.000

Computed properties:
Size of the total moment, μB/cell: 0.00
DFT formation energy, eV per atom: -0.340
SG: Pmmm (47)
Calculated volume, Å³/atom: 17.25
ΔE to the lowest computed polymorph, eV per atom: 0.0863

---

# 4
Below is a relaxed Pr2AlCu6 crystal, with properties calculated at the PBE level.

Cell: 5.758 5.609 5.609 Å, 60.02 90.02 90.02°
Element x y z (fractional)
Cu  0.658  0.178  0.178
Cu  0.658  0.643  0.179
Cu  0.342  0.822  0.822
Cu  0.342  0.821  0.357
Cu  0.658  0.179  0.643
Cu  0.342  0.357  0.821
Pr  0.842  0.667  0.667
Pr  0.158  0.333  0.333
Al  0.000  0.000  0.000

Computed properties:
Size of the total moment, μB/cell: 0.00
DFT formation energy, eV per atom: -0.176
SG: P-3m1 (164)
Calculated volume, Å³/atom: 17.43

---

# 5
Below is a relaxed PrAl2Cu6 crystal, with properties calculated at the PBE level.

Cell: 4.236 6.762 6.762 Å, 55.28 71.75 71.75°
Element x y z (fractional)
Al  0.631  0.869  0.869
Al  0.369  0.131  0.131
Cu  0.000  0.818  0.182
Cu  0.789  0.415  0.007
Cu  0.211  0.585  0.993
Cu  0.211  0.993  0.585
Cu  0.789  0.007  0.415
Cu  0.000  0.182  0.818
Pr  0.500  0.500  0.500

Computed properties:
Size of the total moment, μB/cell: 0.00
DFT formation energy, eV per atom: -0.060
SG: Immm (71)
Calculated volume, Å³/atom: 16.55

---

# 6
Below is a relaxed Pr2AlCu crystal, with properties calculated at the PBE level.

Cell: 3.614 3.614 7.688 Å, 90.00 90.00 90.00°
Element x y z (fractional)
Al  0.500  0.500  0.500
Pr  0.000  0.000  0.240
Pr  0.000  0.000  0.760
Cu  0.500  0.500  0.000

Computed properties:
Size of the total moment, μB/cell: 0.00
DFT formation energy, eV per atom: -0.225
SG: P4/mmm (123)
Calculated volume, Å³/atom: 25.10

---

Among the records above, which one has the highest calculated volume?
Pr2AlCu

---

Number 2 is which compound?
PrAl6Cu12

---

Look up the calculated volume of the first one.
19.34 Å³/atom